# 1
First-principles (PBE-GGA) data for a relaxed structure of SnBiS2N, as listed in Alexandria via LeMat-Bulk.

Summary:
- ΔE to the lowest computed polymorph: 0.000 eV/atom

Lattice parameters (Å, degrees): 5.140 5.140 3.961 90.00 90.00 90.00
Space group P4/mmm (No. 123)
Unique sites:
Sn1 0.000 0.000 0.000 (multiplicity 1)
Bi1 0.500 0.500 0.500 (multiplicity 1)
S1 0.000 0.500 0.000 (multiplicity 2)
N1 0.000 0.000 0.500 (multiplicity 1)

---

# 2
First-principles (PBE-GGA) data for a relaxed structure of TmCo2W, as listed in Alexandria via LeMat-Bulk.

Summary:
- Calculated formation energy: 0.00 eV per atom
- ΔE to the lowest computed polymorph: 0.000 eV/atom

Lattice parameters (Å, degrees): 4.0961 4.0961 14.0409 90.00 90.00 120.00
Space group R-3m (No. 166, hexagonal axes)
Unique sites:
Tm1 0.0000 0.0000 0.0000 (multiplicity 3)
Co1 0.0000 0.0000 0.2049 (multiplicity 6)
W1 0.0000 0.0000 0.5000 (multiplicity 3)

---

# 3
First-principles (PBE-GGA) data for a relaxed structure of MnHgIr3, as listed in Alexandria via LeMat-Bulk.

Summary:
- Calculated formation energy: 2.96 eV per atom
- ΔE to the lowest computed polymorph: 1.675 eV/atom

Lattice parameters (Å, degrees): 4.879 4.879 4.879 90.00 90.00 90.00
Space group Pm-3m (No. 221)
Unique sites:
Mn1 0.000 0.000 0.000 (multiplicity 1)
Hg1 0.500 0.500 0.500 (multiplicity 1)
Ir1 0.000 0.500 0.500 (multiplicity 3)

---

# 4
First-principles (PBE-GGA) data for a relaxed structure of Zr2Ta, as listed in Alexandria via LeMat-Bulk.

Summary:
- Calculated formation energy: 0.24 eV per atom

Lattice parameters (Å, degrees): 6.845 6.845 5.780 90.00 90.00 90.00
Space group I4/mcm (No. 140)
Unique sites:
Zr1 0.167 0.333 0.000 (multiplicity 8)
Ta1 0.000 0.000 0.250 (multiplicity 4)

---

# 5
First-principles (PBE-GGA) data for a relaxed structure of HoThPaIn, as listed in Alexandria via LeMat-Bulk.

Summary:
- Calculated formation energy: 0.12 eV per atom

Lattice parameters (Å, degrees): 7.621 7.621 7.621 90.00 90.00 90.00
Space group F-43m (No. 216)
Unique sites:
Ho1 0.000 0.000 0.000 (multiplicity 4)
Th1 0.250 0.250 0.750 (multiplicity 4)
Pa1 0.000 0.000 0.500 (multiplicity 4)
In1 0.250 0.250 0.250 (multiplicity 4)

---

# 6
First-principles (PBE-GGA) data for a relaxed structure of Dy3ThIn2, as listed in Alexandria via LeMat-Bulk.

Summary:
- Calculated formation energy: -0.32 eV per atom

Lattice parameters (Å, degrees): 3.601 3.601 13.028 90.00 90.00 90.00
Space group P4/mmm (No. 123)
Unique sites:
Dy1 0.000 0.000 0.000 (multiplicity 1)
Dy2 0.000 0.000 0.317 (multiplicity 2)
Th1 0.500 0.500 0.500 (multiplicity 1)
In1 0.500 0.500 0.159 (multiplicity 2)

---

# 7
First-principles (PBE-GGA) data for a relaxed structure of Na2TlHAu, as listed in Alexandria via LeMat-Bulk.

Summary:
- ΔE to the lowest computed polymorph: 0.000 eV/atom

Lattice parameters (Å, degrees): 5.065 5.065 3.819 90.00 90.00 90.00
Space group P4/mmm (No. 123)
Unique sites:
Na1 0.000 0.500 0.000 (multiplicity 2)
Tl1 0.000 0.000 0.500 (multiplicity 1)
H1 0.500 0.500 0.000 (multiplicity 1)
Au1 0.500 0.500 0.500 (multiplicity 1)

---

# 8
First-principles (PBE-GGA) data for a relaxed structure of RbSn2I7, as listed in Alexandria via LeMat-Bulk.

Summary:
- Total DFT energy (no corrections): -2.5023 eV per atom

Lattice parameters (Å, degrees): 10.688 16.088 5.523 90.00 90.00 90.00
Space group Cmmm (No. 65)
Unique sites:
Rb1 0.000 0.000 0.000 (multiplicity 2)
Sn1 0.000 0.251 0.500 (multiplicity 4)
I1 0.000 0.319 0.000 (multiplicity 4)
I2 0.000 0.500 0.500 (multiplicity 2)
I3 0.193 0.127 0.500 (multiplicity 8)

---

# 9
First-principles (PBE-GGA) data for a relaxed structure of TiVSnMo, as listed in Alexandria via LeMat-Bulk.

Summary:
- Calculated formation energy: -0.07 eV per atom

Lattice parameters (Å, degrees): 6.407 6.407 6.407 90.00 90.00 90.00
Space group F-43m (No. 216)
Unique sites:
Ti1 0.000 0.000 0.000 (multiplicity 4)
V1 0.000 0.000 0.500 (multiplicity 4)
Sn1 0.250 0.250 0.750 (multiplicity 4)
Mo1 0.250 0.250 0.250 (multiplicity 4)

---

Please write out number 1 again, unchanged.
First-principles (PBE-GGA) data for a relaxed structure of SnBiS2N, as listed in Alexandria via LeMat-Bulk.

Summary:
- ΔE to the lowest computed polymorph: 0.000 eV/atom

Lattice parameters (Å, degrees): 5.140 5.140 3.961 90.00 90.00 90.00
Space group P4/mmm (No. 123)
Unique sites:
Sn1 0.000 0.000 0.000 (multiplicity 1)
Bi1 0.500 0.500 0.500 (multiplicity 1)
S1 0.000 0.500 0.000 (multiplicity 2)
N1 0.000 0.000 0.500 (multiplicity 1)